# Sr3LiPd

Sr3LiPd after structural relaxation (PBE, Alexandria).

Cell lengths 13.9569, 4.2130, 14.1626 Å; angles 90.00, 117.48, 90.00 degrees
Space group C2/m (No. 12)
Symmetry-distinct sites (fractional):
Sr (0.1026, 0.0000, 0.4286) [4 per cell]
Sr (0.1430, 0.5000, 0.0100) [4 per cell]
Sr (0.1794, 0.5000, 0.7214) [4 per cell]
Li (0.0556, 0.5000, 0.2235) [4 per cell]
Pd (0.0895, 0.0000, 0.8244) [4 per cell]

Results
Polymorph energy (0 for the lowest one) ... 0.0486 eV/atom
E_form ... -227 meV/atom


# YBiSCl2

YBiSCl2 after structural relaxation (PBE, Alexandria).

Cell lengths 5.3987, 5.3987, 5.4831 Å; angles 90.00, 90.00, 90.00 degrees
Space group P4/mmm (No. 123)
Symmetry-distinct sites (fractional):
Y (0.0000, 0.0000, 0.0000) [1 per cell]
Bi (0.5000, 0.5000, 0.5000) [1 per cell]
S (0.5000, 0.5000, 0.0000) [1 per cell]
Cl (0.0000, 0.5000, 0.5000) [2 per cell]

Results
Formation energy without anion corrections ... -235 meV per atom
Polymorph energy (0 for the lowest one) ... 0.8196 eV/atom


# YH2Os

YH2Os after structural relaxation (PBE, Alexandria).

Cell lengths 5.7246, 5.7246, 5.7246 Å; angles 90.00, 90.00, 90.00 degrees
Space group Fm-3m (No. 225)
Symmetry-distinct sites (fractional):
Y (0.0000, 0.0000, 0.0000) [4 per cell]
H (0.2500, 0.2500, 0.2500) [8 per cell]
Os (0.0000, 0.0000, 0.5000) [4 per cell]

Results
Polymorph energy (0 for the lowest one) ... 0.4953 eV/atom


# Pr11Tl9Hg4

Pr11Tl9Hg4 after structural relaxation (PBE, Alexandria).

Cell lengths 15.6298, 23.4696, 3.9126 Å; angles 90.00, 90.00, 90.00 degrees
Space group Cmmm (No. 65)
Symmetry-distinct sites (fractional):
Pr (0.0000, 0.0000, 0.0000) [2 per cell]
Pr (0.0000, 0.1628, 0.0000) [4 per cell]
Pr (0.0000, 0.3567, 0.0000) [4 per cell]
Pr (0.2181, 0.5000, 0.0000) [4 per cell]
Pr (0.2381, 0.1734, 0.0000) [8 per cell]
Tl (0.0000, 0.5000, 0.5000) [2 per cell]
Tl (0.1098, 0.2579, 0.5000) [8 per cell]
Tl (0.1344, 0.0761, 0.5000) [8 per cell]
Hg (0.1476, 0.4024, 0.5000) [8 per cell]

Results
E_form ... -390 meV/atom


# LiVAs

LiVAs after structural relaxation (PBE, Alexandria).

Cell lengths 2.7508, 4.3512, 8.0496 Å; angles 90.00, 90.00, 90.00 degrees
Space group Pmmm (No. 47)
Symmetry-distinct sites (fractional):
Li (0.0000, 0.0000, 0.0000) [1 per cell]
Li (0.0000, 0.5000, 0.5000) [1 per cell]
V (0.5000, 0.0000, 0.3575) [2 per cell]
As (0.5000, 0.5000, 0.2104) [2 per cell]

Results
Polymorph energy (0 for the lowest one) ... 0.5261 eV/atom
E_form ... -50 meV/atom


# MgInOs3

MgInOs3 after structural relaxation (PBE, Alexandria).

Cell lengths 4.5183, 4.5183, 4.5183 Å; angles 90.00, 90.00, 90.00 degrees
Space group Pm-3m (No. 221)
Symmetry-distinct sites (fractional):
Mg (0.0000, 0.0000, 0.0000) [1 per cell]
In (0.5000, 0.5000, 0.5000) [1 per cell]
Os (0.0000, 0.0000, 0.5000) [3 per cell]

Results
Polymorph energy (0 for the lowest one) ... 0.0000 eV/atom
E_form ... 2090 meV/atom


# AcTb6PmEr2

AcTb6PmEr2 after structural relaxation (PBE, Alexandria).

Cell lengths 9.2856, 15.2388, 9.5712 Å; angles 90.00, 95.09, 90.00 degrees
Space group C2/c (No. 15)
Symmetry-distinct sites (fractional):
Ac (0.0000, 0.0327, 0.2500) [4 per cell]
Tb (0.0633, 0.1853, 0.9432) [8 per cell]
Tb (0.0984, 0.3884, 0.1164) [8 per cell]
Tb (0.2160, 0.2308, 0.3214) [8 per cell]
Pm (0.0000, 0.4111, 0.7500) [4 per cell]
Er (0.2437, 0.4442, 0.4507) [8 per cell]

Results
E_form ... 129 meV/atom


# TlSnP

TlSnP after structural relaxation (PBE, Alexandria).

Cell lengths 3.9554, 3.9554, 6.0821 Å; angles 90.00, 90.00, 120.00 degrees
Space group P3m1 (No. 156)
Symmetry-distinct sites (fractional):
Tl (0.0000, 0.0000, 0.0000) [1 per cell]
Sn (0.3333, 0.6667, 0.5651) [1 per cell]
P (0.6667, 0.3333, 0.3458) [1 per cell]

Results
Polymorph energy (0 for the lowest one) ... 0.0000 eV/atom
E_form ... -9 meV/atom


# Nd2Zn3In

Nd2Zn3In after structural relaxation (PBE, Alexandria).

Cell lengths 3.8395, 4.6424, 16.1352 Å; angles 90.00, 90.00, 90.00 degrees
Space group Imm2 (No. 44)
Symmetry-distinct sites (fractional):
Nd (0.0000, 0.0000, 0.0000) [2 per cell]
Nd (0.0000, 0.5000, 0.2685) [2 per cell]
Zn (0.0000, 0.0000, 0.4278) [2 per cell]
Zn (0.0000, 0.5000, 0.6788) [2 per cell]
Zn (0.0000, 0.5000, 0.8342) [2 per cell]
In (0.0000, 0.0000, 0.5952) [2 per cell]

Results
Polymorph energy (0 for the lowest one) ... 0.0524 eV/atom
E_form ... -334 meV/atom


# HfMnCd2

HfMnCd2 after structural relaxation (PBE, Alexandria).

Cell lengths 6.6299, 6.6299, 6.6299 Å; angles 90.00, 90.00, 90.00 degrees
Space group Fm-3m (No. 225)
Symmetry-distinct sites (fractional):
Hf (0.0000, 0.0000, 0.0000) [4 per cell]
Mn (0.0000, 0.0000, 0.5000) [4 per cell]
Cd (0.2500, 0.2500, 0.2500) [8 per cell]

Results
Polymorph energy (0 for the lowest one) ... 0.0000 eV/atom
E_form ... 503 meV/atom


# Zr2TcOs

Zr2TcOs after structural relaxation (PBE, Alexandria).

Cell lengths 2.9278, 2.9278, 8.6677 Å; angles 90.00, 90.00, 90.00 degrees
Space group P4mm (No. 99)
Symmetry-distinct sites (fractional):
Zr (0.0000, 0.0000, 0.0000) [1 per cell]
Zr (0.5000, 0.5000, 0.3238) [1 per cell]
Tc (0.5000, 0.5000, 0.7506) [1 per cell]
Os (0.0000, 0.0000, 0.5671) [1 per cell]

Results
E_form ... -31 meV/atom


# LaMoN3

LaMoN3 after structural relaxation (PBE, Alexandria).

Cell lengths 5.7276, 5.7276, 14.0786 Å; angles 90.00, 90.00, 120.00 degrees
Space group R3c (No. 161, hexagonal axes)
Symmetry-distinct sites (fractional):
La (0.0000, 0.0000, 0.0000) [6 per cell]
Mo (0.0000, 0.0000, 0.2513) [6 per cell]
N (0.0007, 0.4420, 0.4763) [18 per cell]

Results
Formation energy without anion corrections ... -880 meV per atom


Let's list DOS at the Fermi energy in order: 2.7; 5.0; 2.1; 21.9; 1.2; 6.3; 14.9; 0.5; 7.2; 6.9; 4.6; 0.0 states/eV/f.u..